(1)
# Mg3SbPd6

A relaxed structure of Mg3SbPd6 (PBE, Alexandria).

M_tot ... 0.000 μB/cell
Space-group type ... No. 11
Calculated total energy ... -4.60 eV per atom
Calculated volume ... 16.4 A^3/atom
Formation energy without anion corrections ... -589 meV per atom

Unit cell a=8.4634 b=4.2256 c=9.2545 alpha=90.00 beta=96.71 gamma=90.00
Fractional positions:
Mg 0.0502 0.2500 0.3968
Mg 0.1524 0.7500 0.1885
Mg 0.2529 0.2500 0.9785
Mg 0.7471 0.7500 0.0215
Mg 0.8476 0.2500 0.8115
Mg 0.9498 0.7500 0.6032
Sb 0.4318 0.2500 0.6273
Sb 0.5682 0.7500 0.3727
Pd 0.0378 0.7500 0.8974
Pd 0.1241 0.2500 0.6908
Pd 0.2456 0.7500 0.4861
Pd 0.3408 0.7500 0.7977
Pd 0.3424 0.2500 0.2904
Pd 0.4411 0.7500 0.0925
Pd 0.5589 0.2500 0.9075
Pd 0.6576 0.7500 0.7096
Pd 0.6592 0.2500 0.2023
Pd 0.7544 0.2500 0.5139
Pd 0.8759 0.7500 0.3092
Pd 0.9622 0.2500 0.1026

***

(2)
# Mg5SbPd6

A relaxed structure of Mg5SbPd6 (PBE, Alexandria).

M_tot ... 0.000 μB/cell
Space-group type ... No. 10
Calculated total energy ... -4.30 eV per atom
Calculated volume ... 16.6 A^3/atom
Formation energy without anion corrections ... -696 meV per atom

Unit cell a=4.4864 b=6.5681 c=7.0553 alpha=90.00 beta=106.93 gamma=90.00
Fractional positions:
Mg 0.0000 0.0000 0.0000
Mg 0.3310 0.5000 0.6620
Mg 0.3324 0.0000 0.6640
Mg 0.6676 0.0000 0.3360
Mg 0.6690 0.5000 0.3380
Sb 0.0000 0.5000 0.0000
Pd 0.1671 0.2499 0.3337
Pd 0.1671 0.7501 0.3337
Pd 0.5000 0.2445 0.0000
Pd 0.5000 0.7555 0.0000
Pd 0.8329 0.2499 0.6663
Pd 0.8329 0.7501 0.6663

***

(3)
# MgSb2Pd7

A relaxed structure of MgSb2Pd7 (PBE, Alexandria).

M_tot ... 0.000 μB/cell
Space-group type ... No. 139
Calculated total energy ... -5.08 eV per atom
ΔE to the lowest computed polymorph ... 0 meV/atom
Calculated volume ... 18.0 A^3/atom
Formation energy without anion corrections ... -464 meV per atom

Unit cell a=11.3053 b=11.3053 c=11.3053 alpha=159.30 beta=159.30 gamma=29.43
Fractional positions:
Mg 0.0000 0.0000 0.0000
Sb 0.3324 0.3324 0.0000
Sb 0.6676 0.6676 0.0000
Pd 0.0895 0.5895 0.5000
Pd 0.2500 0.7500 0.5000
Pd 0.4105 0.9105 0.5000
Pd 0.5000 0.5000 0.0000
Pd 0.5895 0.0895 0.5000
Pd 0.7500 0.2500 0.5000
Pd 0.9105 0.4105 0.5000

***

(4)
# Mg3SbPd7

A relaxed structure of Mg3SbPd7 (PBE, Alexandria).

M_tot ... 0.000 μB/cell
Space-group type ... No. 12
Calculated total energy ... -4.49 eV per atom
Calculated volume ... 17.7 A^3/atom
Formation energy without anion corrections ... -380 meV per atom

Unit cell a=6.4886 b=6.4886 c=5.1152 alpha=106.57 beta=106.57 gamma=93.86
Fractional positions:
Mg 0.0000 0.0000 0.0000
Mg 0.2236 0.7764 0.5000
Mg 0.7764 0.2236 0.5000
Sb 0.5000 0.5000 0.0000
Pd 0.0704 0.5858 0.8190
Pd 0.1889 0.1889 0.5544
Pd 0.4142 0.9296 0.1810
Pd 0.5000 0.5000 0.5000
Pd 0.5858 0.0704 0.8190
Pd 0.8111 0.8111 0.4456
Pd 0.9296 0.4142 0.1810

***

(5)
# MgSbPd2

A relaxed structure of MgSbPd2 (PBE, Alexandria).

M_tot ... 0.000 μB/cell
Space-group type ... No. 122
Calculated total energy ... -4.31 eV per atom
ΔE to the lowest computed polymorph ... 326 meV/atom
Calculated volume ... 19.7 A^3/atom
Formation energy without anion corrections ... -280 meV per atom

Unit cell a=9.4664 b=9.4664 c=9.4664 alpha=154.42 beta=154.42 gamma=36.49
Fractional positions:
Mg 0.0000 0.0000 0.0000
Mg 0.7500 0.2500 0.5000
Sb 0.2500 0.7500 0.5000
Sb 0.5000 0.5000 0.0000
Pd 0.1321 0.6250 0.0071
Pd 0.3750 0.3821 0.5071
Pd 0.6179 0.1250 0.9929
Pd 0.8750 0.8679 0.4929

***

(6)
# MgSbPd2

A relaxed structure of MgSbPd2 (PBE, Alexandria).

M_tot ... 0.000 μB/cell
Space-group type ... No. 123
Calculated total energy ... -4.55 eV per atom
ΔE to the lowest computed polymorph ... 79 meV/atom
Calculated volume ... 17.9 A^3/atom
Formation energy without anion corrections ... -527 meV per atom

Unit cell a=3.3721 b=3.3721 c=6.2892 alpha=90.00 beta=90.00 gamma=90.00
Fractional positions:
Mg 0.0000 0.0000 0.0000
Sb 0.0000 0.0000 0.5000
Pd 0.5000 0.5000 0.2415
Pd 0.5000 0.5000 0.7585

***

(7)
# Mg2Sb2Pd

A relaxed structure of Mg2Sb2Pd (PBE, Alexandria).

M_tot ... 0.000 μB/cell
Space-group type ... No. 127
Calculated total energy ... -3.55 eV per atom
ΔE to the lowest computed polymorph ... 0 meV/atom
Calculated volume ... 23.3 A^3/atom
Formation energy without anion corrections ... -223 meV per atom

Unit cell a=7.2657 b=7.2657 c=4.4187 alpha=90.00 beta=90.00 gamma=90.00
Fractional positions:
Mg 0.1589 0.3411 0.0000
Mg 0.3411 0.8411 0.0000
Mg 0.6589 0.1589 0.0000
Mg 0.8411 0.6589 0.0000
Sb 0.1549 0.6549 0.5000
Sb 0.3451 0.1549 0.5000
Sb 0.6549 0.8451 0.5000
Sb 0.8451 0.3451 0.5000
Pd 0.0000 0.0000 0.5000
Pd 0.5000 0.5000 0.5000

***

(8)
# Mg2SbPd

A relaxed structure of Mg2SbPd (PBE, Alexandria).

M_tot ... 0.000 μB/cell
Space-group type ... No. 123
Calculated total energy ... -3.57 eV per atom
Calculated volume ... 19.4 A^3/atom
Formation energy without anion corrections ... -444 meV per atom

Unit cell a=4.3462 b=4.3462 c=4.1027 alpha=90.00 beta=90.00 gamma=90.00
Fractional positions:
Mg 0.0000 0.5000 0.0000
Mg 0.5000 0.0000 0.0000
Sb 0.0000 0.0000 0.5000
Pd 0.5000 0.5000 0.5000